No. 1
First-principles (GGA-PBE) data for a relaxed KSeI crystal, as listed in the Alexandria database.

POSCAR file:
```
KSeI
1.0
5.2812 0.0000 0.0000
1.2315 6.1983 0.0000
2.5437 0.2879 8.1744
K Se I
2 2 2
Direct
0.0000 0.0000 0.0000
0.3603 0.4135 0.4882
0.5102 0.2796 0.8556
0.8317 0.0785 0.6322
0.6735 0.6833 0.7468
0.9876 0.4898 0.2044
```

Formation energy without anion corrections   -0.81 eV/atom
Excess energy over the best structure of this formula in the dataset   14 meV per atom
Total magnetization   0.0 μB per formula unit
Uncorrected energy   -2.854 eV per atom



No. 2
First-principles (GGA-PBE) data for a relaxed KSeI crystal, as listed in the Alexandria database.

POSCAR file:
```
KSeI
1.0
5.7671 0.0000 0.0000
-2.1093 6.3538 0.0000
-0.4911 -0.5302 6.7763
K Se I
2 2 2
Direct
0.0000 0.0000 0.0000
0.1858 0.5103 0.5619
0.1676 0.5531 0.0680
0.7481 0.4900 0.1043
0.5451 0.1983 0.7671
0.7975 0.8085 0.4510
```

Formation energy without anion corrections   -0.81 eV/atom
Excess energy over the best structure of this formula in the dataset   17 meV per atom
Total magnetization   0.0 μB per formula unit
Uncorrected energy   -2.851 eV per atom



No. 3
First-principles (GGA-PBE) data for a relaxed KSeI crystal, as listed in the Alexandria database.

POSCAR file:
```
KSeI
1.0
6.1310 0.0000 0.0000
0.0000 4.6930 0.0000
-2.6419 0.0000 9.4373
K Se I
2 2 2
Direct
0.0000 0.0000 0.0000
0.4918 0.0000 0.4755
0.0577 0.0000 0.6303
0.1069 0.5000 0.7320
0.3466 0.5000 0.2086
0.6166 0.5000 0.7722
```

Formation energy without anion corrections   -0.82 eV/atom
D(E_F)   0.22 states/eV per atom
Excess energy over the best structure of this formula in the dataset   0 meV per atom
Total magnetization   0.0 μB per formula unit
Uncorrected energy   -2.868 eV per atom



No. 4
First-principles (GGA-PBE) data for a relaxed KSe2I crystal, as listed in the Alexandria database.

POSCAR file:
```
KSe2I
1.0
2.1139 1.2204 9.7363
-2.1139 1.2204 9.7363
0.0000 -2.4409 9.7363
K Se I
1 2 1
Direct
0.0000 0.0000 0.0000
0.4100 0.4100 0.4100
0.5900 0.5900 0.5900
0.5000 0.5000 0.5000
```

Formation energy without anion corrections   -0.07 eV/atom
D(E_F)   0.76 states/eV per atom
Excess energy over the best structure of this formula in the dataset   104 meV per atom
Total magnetization   0.0 μB per formula unit
Uncorrected energy   -2.477 eV per atom